An optimized crystal structure of Li3MnAl2O6, computed with PBE with a Hubbard U.

Geometry as CIF:
```
data_Li3MnAl2O6
_symmetry_space_group_name_H-M 'P -1'
_symmetry_Int_Tables_number 2
_cell_length_a 5.300
_cell_length_b 5.927
_cell_length_c 7.827
_cell_angle_alpha 89.96
_cell_angle_beta 79.61
_cell_angle_gamma 89.38
loop_
_symmetry_equiv_pos_as_xyz
'x,y,z'
'-x,-y,-z'
loop_
_atom_site_label
_atom_site_type_symbol
_atom_site_fract_x
_atom_site_fract_y
_atom_site_fract_z
Li1 Li 0.003 0.160 0.257
Li2 Li 0.162 0.666 0.417
Li3 Li 0.328 0.846 0.098
Mn1 Mn 0.498 0.330 0.242
Al1 Al 0.162 0.325 0.918
Al2 Al 0.330 0.167 0.587
O1 O 0.029 0.178 0.754
O2 O 0.170 0.637 0.921
O3 O 0.200 0.320 0.419
O4 O 0.320 0.184 0.073
O5 O 0.347 0.856 0.579
O6 O 0.477 0.329 0.742
```

Summary:
As for the magnetization: 4.00 μB per formula unit. The value obtained for the calculated density is 3.10 Mg/m³. The energy is -6.58 eV per atom.